1.
{"formula": "Pr8InSe6", "functional": "PBE-GGA", "state": "optimized geometry", "magnetic_moment_mub_per_cell": 0.001, "mass_density_kg_m3": 6329, "spacegroup": "P-3 (147)", "dos_ef_per_ev_fu": 13.6, "e_form_raw_ev_per_atom": -1.380, "cell": [[-4.096, 0.473, -1.091], [3.074, 4.644, -9.532], [-1.423, -10.931, 0.608]], "species": ["Pr", "Pr", "Pr", "Pr", "Pr", "Pr", "Pr", "Pr", "In", "Se", "Se", "Se", "Se", "Se", "Se"], "frac_coords": [[0.750, 0.964, 0.292], [0.750, 0.708, 0.672], [0.750, 0.328, 0.036], [0.250, 0.036, 0.708], [0.250, 0.292, 0.328], [0.250, 0.672, 0.964], [0.750, 0.333, 0.667], [0.250, 0.667, 0.333], [0.500, 0.000, 0.000], [0.748, 0.649, 0.133], [0.748, 0.867, 0.516], [0.748, 0.484, 0.351], [0.252, 0.351, 0.867], [0.252, 0.133, 0.484], [0.252, 0.516, 0.649]]}

2.
{"formula": "Hf2ZrCu", "functional": "PBE-GGA", "state": "optimized geometry", "ef_kj_per_mol_atoms": 7.52, "magnetic_moment_mub_per_cell": 0.001, "mass_density_kg_m3": 10282, "spacegroup": "R3m (160)", "relative_energy_mev_per_atom": 162, "dos_ef_per_ev_fu": 6.0, "cell": [[3.214, 0.000, 0.000], [1.607, 2.783, 0.000], [1.607, 0.928, 9.240]], "species": ["Hf", "Hf", "Zr", "Cu"], "frac_coords": [[0.075, 0.075, 0.775], [0.258, 0.258, 0.225], [0.500, 0.500, 0.501], [0.667, 0.667, 0.000]]}

Copy entry 1 word for word.
{"formula": "Pr8InSe6", "functional": "PBE-GGA", "state": "optimized geometry", "magnetic_moment_mub_per_cell": 0.001, "mass_density_kg_m3": 6329, "spacegroup": "P-3 (147)", "dos_ef_per_ev_fu": 13.6, "e_form_raw_ev_per_atom": -1.380, "cell": [[-4.096, 0.473, -1.091], [3.074, 4.644, -9.532], [-1.423, -10.931, 0.608]], "species": ["Pr", "Pr", "Pr", "Pr", "Pr", "Pr", "Pr", "Pr", "In", "Se", "Se", "Se", "Se", "Se", "Se"], "frac_coords": [[0.750, 0.964, 0.292], [0.750, 0.708, 0.672], [0.750, 0.328, 0.036], [0.250, 0.036, 0.708], [0.250, 0.292, 0.328], [0.250, 0.672, 0.964], [0.750, 0.333, 0.667], [0.250, 0.667, 0.333], [0.500, 0.000, 0.000], [0.748, 0.649, 0.133], [0.748, 0.867, 0.516], [0.748, 0.484, 0.351], [0.252, 0.351, 0.867], [0.252, 0.133, 0.484], [0.252, 0.516, 0.649]]}

What is the formula in the second record? Hf2ZrCu